# 1
## AgSbCl2 (PBE)

Data for crystalline AgSbCl2 at its relaxed geometry.

DOS(E_F)	4.54	states/eV per cell
E above lowest polymorph	402	meV/atom
total magnetic moment	0.000	μB/atom
V	22.9	Å³ per atom

```
data_AgSbCl2
_symmetry_space_group_name_H-M 'C m m m'
_symmetry_Int_Tables_number 65
_symmetry_space_group_name_Hall '-C 2 2'
_cell_length_a 6.9784
_cell_length_b 8.1886
_cell_length_c 3.2064
_cell_angle_alpha 90.00
_cell_angle_beta 90.00
_cell_angle_gamma 90.00
loop_
_atom_site_label
_atom_site_type_symbol
_atom_site_fract_x
_atom_site_fract_y
_atom_site_fract_z
_atom_site_occupancy
Ag1 Ag 0.0000 0.0000 0.0000 1
Sb1 Sb 0.0000 0.5000 0.0000 1
Cl1 Cl 0.2500 0.2500 0.5000 1
```

# 2
## AgSbCl2 (PBE)

Data for crystalline AgSbCl2 at its relaxed geometry.

E above lowest polymorph	0	meV/atom
total magnetic moment	0.000	μB/atom
V	30.3	Å³ per atom

```
data_AgSbCl2
_symmetry_space_group_name_H-M 'C 1 m 1'
_symmetry_Int_Tables_number 8
_symmetry_space_group_name_Hall 'C -2y'
_cell_length_a 11.4481
_cell_length_b 3.5120
_cell_length_c 6.1030
_cell_angle_alpha 90.00
_cell_angle_beta 99.22
_cell_angle_gamma 90.00
loop_
_atom_site_label
_atom_site_type_symbol
_atom_site_fract_x
_atom_site_fract_y
_atom_site_fract_z
_atom_site_occupancy
Ag1 Ag 0.0000 0.0000 0.0000 1
Sb1 Sb 0.1675 0.5000 0.2087 1
Cl1 Cl 0.0639 0.5000 0.5228 1
Cl2 Cl 0.3416 0.0000 0.8876 1
```

# 3
## Ag3SbCl (PBE)

Data for crystalline Ag3SbCl at its relaxed geometry.

DOS(E_F)	3.36	states/eV per cell
E above lowest polymorph	0	meV/atom
total magnetic moment	0.000	μB/atom
V	23.0	Å³ per atom

```
data_Ag3SbCl
_symmetry_space_group_name_H-M 'P 1 21/m 1'
_symmetry_Int_Tables_number 11
_symmetry_space_group_name_Hall '-P 2yb'
_cell_length_a 4.9750
_cell_length_b 6.0729
_cell_length_c 7.6192
_cell_angle_alpha 90.00
_cell_angle_beta 90.12
_cell_angle_gamma 90.00
loop_
_atom_site_label
_atom_site_type_symbol
_atom_site_fract_x
_atom_site_fract_y
_atom_site_fract_z
_atom_site_occupancy
Ag1 Ag 0.2490 0.0039 0.2742 1
Ag2 Ag 0.2509 0.7500 0.6338 1
Sb1 Sb 0.2503 0.2500 0.5875 1
Cl1 Cl 0.2492 0.7500 0.9994 1
```

# 4
## Ag5Sb2Cl12 (PBE)

Data for crystalline Ag5Sb2Cl12 at its relaxed geometry.

DOS(E_F)	6.23	states/eV per cell
total magnetic moment	0.000	μB/atom
V	27.1	Å³ per atom

```
data_Ag5Sb2Cl12
_symmetry_space_group_name_H-M 'C 1 2/m 1'
_symmetry_Int_Tables_number 12
_symmetry_space_group_name_Hall '-C 2y'
_cell_length_a 14.1100
_cell_length_b 7.5484
_cell_length_c 10.0129
_cell_angle_alpha 90.00
_cell_angle_beta 104.77
_cell_angle_gamma 90.00
loop_
_atom_site_label
_atom_site_type_symbol
_atom_site_fract_x
_atom_site_fract_y
_atom_site_fract_z
_atom_site_occupancy
Ag1 Ag 0.0000 0.0000 0.0000 1
Ag2 Ag 0.2101 0.5000 0.8836 1
Ag3 Ag 0.2153 0.5000 0.1909 1
Sb1 Sb 0.0000 0.2502 0.5000 1
Cl1 Cl 0.0518 0.5000 0.3368 1
Cl2 Cl 0.0538 0.0000 0.3452 1
Cl3 Cl 0.1301 0.2414 0.0274 1
Cl4 Cl 0.1797 0.2564 0.6655 1
```

# 5
## Ag5SbCl12 (PBE)

Data for crystalline Ag5SbCl12 at its relaxed geometry.

DOS(E_F)	9.51	states/eV per cell
total magnetic moment	0.059	μB/atom
V	27.9	Å³ per atom

```
data_Ag5SbCl12
_symmetry_space_group_name_H-M 'P -1'
_symmetry_Int_Tables_number 2
_symmetry_space_group_name_Hall '-P 1'
_cell_length_a 6.6967
_cell_length_b 6.7019
_cell_length_c 12.7544
_cell_angle_alpha 85.71
_cell_angle_beta 76.68
_cell_angle_gamma 64.23
loop_
_atom_site_label
_atom_site_type_symbol
_atom_site_fract_x
_atom_site_fract_y
_atom_site_fract_z
_atom_site_occupancy
Ag1 Ag 0.0000 0.0000 0.0000 1
Ag2 Ag 0.2573 0.6265 0.3251 1
Ag3 Ag 0.3247 0.3259 0.0022 1
Sb1 Sb 0.5000 0.0000 0.5000 1
Cl1 Cl 0.0236 0.7110 0.8813 1
Cl2 Cl 0.1722 0.3036 0.6117 1
Cl3 Cl 0.2531 0.9935 0.3857 1
Cl4 Cl 0.3352 0.6166 0.1208 1
Cl5 Cl 0.3362 0.0273 0.8851 1
Cl6 Cl 0.4176 0.7242 0.6175 1
```

# 6
## AgSb2Cl (PBE)

Data for crystalline AgSb2Cl at its relaxed geometry.

DOS(E_F)	6.08	states/eV per cell
E above lowest polymorph	236	meV/atom
total magnetic moment	0.000	μB/atom
V	22.9	Å³ per atom

```
data_AgSb2Cl
_symmetry_space_group_name_H-M 'F m -3 m'
_symmetry_Int_Tables_number 225
_symmetry_space_group_name_Hall '-F 4 2 3'
_cell_length_a 7.1541
_cell_length_b 7.1541
_cell_length_c 7.1541
_cell_angle_alpha 90.00
_cell_angle_beta 90.00
_cell_angle_gamma 90.00
loop_
_atom_site_label
_atom_site_type_symbol
_atom_site_fract_x
_atom_site_fract_y
_atom_site_fract_z
_atom_site_occupancy
Ag1 Ag 0.0000 0.0000 0.0000 1
Sb1 Sb 0.2500 0.2500 0.2500 1
Cl1 Cl 0.0000 0.0000 0.5000 1
```

# 7
## AgSbCl2 (PBE)

Data for crystalline AgSbCl2 at its relaxed geometry.

DOS(E_F)	1.23	states/eV per cell
E above lowest polymorph	197	meV/atom
total magnetic moment	0.000	μB/atom
V	23.4	Å³ per atom

```
data_AgSbCl2
_symmetry_space_group_name_H-M 'P 1 2/m 1'
_symmetry_Int_Tables_number 10
_symmetry_space_group_name_Hall '-P 2y'
_cell_length_a 3.4131
_cell_length_b 4.5014
_cell_length_c 6.1057
_cell_angle_alpha 90.00
_cell_angle_beta 92.67
_cell_angle_gamma 90.00
loop_
_atom_site_label
_atom_site_type_symbol
_atom_site_fract_x
_atom_site_fract_y
_atom_site_fract_z
_atom_site_occupancy
Ag1 Ag 0.0000 0.0000 0.0000 1
Sb1 Sb 0.5000 0.0000 0.5000 1
Cl1 Cl 0.2833 0.5000 0.2470 1
```

# 8
## AgSbCl5 (PBE)

Data for crystalline AgSbCl5 at its relaxed geometry.

DOS(E_F)	8.40	states/eV per cell
E above lowest polymorph	45	meV/atom
total magnetic moment	0.000	μB/atom
V	29.2	Å³ per atom

```
data_AgSbCl5
_symmetry_space_group_name_H-M 'C 1 2/c 1'
_symmetry_Int_Tables_number 15
_symmetry_space_group_name_Hall '-C 2yc'
_cell_length_a 11.3613
_cell_length_b 7.9747
_cell_length_c 10.1563
_cell_angle_alpha 90.00
_cell_angle_beta 117.36
_cell_angle_gamma 90.00
loop_
_atom_site_label
_atom_site_type_symbol
_atom_site_fract_x
_atom_site_fract_y
_atom_site_fract_z
_atom_site_occupancy
Ag1 Ag 0.0000 0.0357 0.2500 1
Sb1 Sb 0.0000 0.5000 0.0000 1
Cl1 Cl 0.0000 0.3849 0.2500 1
Cl2 Cl 0.0435 0.2009 0.9553 1
Cl3 Cl 0.2448 0.4456 0.6411 1
```

# 9
## AgSb2Cl (PBE)

Data for crystalline AgSb2Cl at its relaxed geometry.

DOS(E_F)	2.61	states/eV per cell
E above lowest polymorph	36	meV/atom
total magnetic moment	0.000	μB/atom
V	27.0	Å³ per atom

```
data_AgSb2Cl
_symmetry_space_group_name_H-M 'C 1 2/m 1'
_symmetry_Int_Tables_number 12
_symmetry_space_group_name_Hall '-C 2y'
_cell_length_a 8.4986
_cell_length_b 3.2465
_cell_length_c 7.8781
_cell_angle_alpha 90.00
_cell_angle_beta 95.95
_cell_angle_gamma 90.00
loop_
_atom_site_label
_atom_site_type_symbol
_atom_site_fract_x
_atom_site_fract_y
_atom_site_fract_z
_atom_site_occupancy
Ag1 Ag 0.0000 0.0000 0.0000 1
Sb1 Sb 0.1888 0.5000 0.8010 1
Cl1 Cl 0.0000 0.5000 0.5000 1
```

# 10
## AgSbCl6 (PBE)

Data for crystalline AgSbCl6 at its relaxed geometry.

E above lowest polymorph	0	meV/atom
total magnetic moment	0.000	μB/atom
V	30.9	Å³ per atom

```
data_AgSbCl6
_symmetry_space_group_name_H-M 'C 1 2/m 1'
_symmetry_Int_Tables_number 12
_symmetry_space_group_name_Hall '-C 2y'
_cell_length_a 6.5810
_cell_length_b 12.1713
_cell_length_c 6.5243
_cell_angle_alpha 90.00
_cell_angle_beta 108.88
_cell_angle_gamma 90.00
loop_
_atom_site_label
_atom_site_type_symbol
_atom_site_fract_x
_atom_site_fract_y
_atom_site_fract_z
_atom_site_occupancy
Ag1 Ag 0.0000 0.0000 0.0000 1
Sb1 Sb 0.0000 0.5000 0.5000 1
Cl1 Cl 0.2253 0.3586 0.7300 1
Cl2 Cl 0.2268 0.5000 0.2765 1
```

# 11
## Ag4Sb2Se5Cl (PBE)

Data for crystalline Ag4Sb2Se5Cl at its relaxed geometry.

DOS(E_F)	7.48	states/eV per cell
total magnetic moment	0.000	μB/atom
V	26.3	Å³ per atom

```
data_Ag4Sb2Se5Cl
_symmetry_space_group_name_H-M 'A m m 2'
_symmetry_Int_Tables_number 38
_symmetry_space_group_name_Hall 'A 2 -2'
_cell_length_a 7.7305
_cell_length_b 11.8894
_cell_length_c 6.8712
_cell_angle_alpha 90.00
_cell_angle_beta 90.00
_cell_angle_gamma 90.00
loop_
_atom_site_label
_atom_site_type_symbol
_atom_site_fract_x
_atom_site_fract_y
_atom_site_fract_z
_atom_site_occupancy
Ag1 Ag 0.0000 0.1816 0.0000 1
Ag2 Ag 0.2774 0.0000 0.4887 1
Sb1 Sb 0.5000 0.1964 0.9838 1
Se1 Se 0.2394 0.1841 0.7001 1
Se2 Se 0.5000 0.0000 0.1883 1
Cl1 Cl 0.0000 0.0000 0.2264 1
```

# 12
## AgSbSe2Cl (PBE)

Data for crystalline AgSbSe2Cl at its relaxed geometry.

DOS(E_F)	3.15	states/eV per cell
total magnetic moment	0.000	μB/atom
V	30.7	Å³ per atom

```
data_AgSbSe2Cl
_symmetry_space_group_name_H-M 'P 1 21/m 1'
_symmetry_Int_Tables_number 11
_symmetry_space_group_name_Hall '-P 2yb'
_cell_length_a 7.1300
_cell_length_b 4.1433
_cell_length_c 10.8790
_cell_angle_alpha 90.00
_cell_angle_beta 106.93
_cell_angle_gamma 90.00
loop_
_atom_site_label
_atom_site_type_symbol
_atom_site_fract_x
_atom_site_fract_y
_atom_site_fract_z
_atom_site_occupancy
Ag1 Ag 0.0302 0.2500 0.3364 1
Sb1 Sb 0.4523 0.2500 0.8258 1
Se1 Se 0.1493 0.2500 0.6042 1
Se2 Se 0.2491 0.7500 0.9022 1
Cl1 Cl 0.3590 0.2500 0.2794 1
```

# 13
## Ag5SbTe4Cl2 (PBE)

Data for crystalline Ag5SbTe4Cl2 at its relaxed geometry.

DOS(E_F)	3.78	states/eV per cell
total magnetic moment	0.000	μB/atom
V	29.0	Å³ per atom

```
data_Ag5SbTe4Cl2
_symmetry_space_group_name_H-M 'A m m 2'
_symmetry_Int_Tables_number 38
_symmetry_space_group_name_Hall 'A 2 -2'
_cell_length_a 8.3795
_cell_length_b 12.7403
_cell_length_c 6.5252
_cell_angle_alpha 90.00
_cell_angle_beta 90.00
_cell_angle_gamma 90.00
loop_
_atom_site_label
_atom_site_type_symbol
_atom_site_fract_x
_atom_site_fract_y
_atom_site_fract_z
_atom_site_occupancy
Ag1 Ag 0.0000 0.0000 0.0000 1
Ag2 Ag 0.2547 0.1979 0.5130 1
Sb1 Sb 0.5000 0.0000 0.1169 1
Te1 Te 0.2150 0.0000 0.3331 1
Te2 Te 0.5000 0.1737 0.8513 1
Cl1 Cl 0.0000 0.1756 0.7821 1
```

# 14
## TlAgSb2Cl (PBE)

Data for crystalline TlAgSb2Cl at its relaxed geometry.

DOS(E_F)	4.24	states/eV per cell
total magnetic moment	0.000	μB/atom
V	31.0	Å³ per atom

```
data_TlAgSb2Cl
_symmetry_space_group_name_H-M 'P 4/m m m'
_symmetry_Int_Tables_number 123
_symmetry_space_group_name_Hall '-P 4 2'
_cell_length_a 5.5460
_cell_length_b 5.5460
_cell_length_c 5.0336
_cell_angle_alpha 90.00
_cell_angle_beta 90.00
_cell_angle_gamma 90.00
loop_
_atom_site_label
_atom_site_type_symbol
_atom_site_fract_x
_atom_site_fract_y
_atom_site_fract_z
_atom_site_occupancy
Tl1 Tl 0.0000 0.0000 0.0000 1
Ag1 Ag 0.5000 0.5000 0.0000 1
Sb1 Sb 0.0000 0.5000 0.5000 1
Cl1 Cl 0.5000 0.5000 0.5000 1
```

# 15
## TlAg2SbCl6 (PBE)

Data for crystalline TlAg2SbCl6 at its relaxed geometry.

DOS(E_F)	0.00	states/eV per cell
total magnetic moment	0.000	μB/atom
V	30.3	Å³ per atom

```
data_TlAg2SbCl6
_symmetry_space_group_name_H-M 'P 1'
_symmetry_Int_Tables_number 1
_symmetry_space_group_name_Hall 'P 1'
_cell_length_a 7.3189
_cell_length_b 7.3224
_cell_length_c 7.7621
_cell_angle_alpha 62.13
_cell_angle_beta 62.07
_cell_angle_gamma 60.05
loop_
_atom_site_label
_atom_site_type_symbol
_atom_site_fract_x
_atom_site_fract_y
_atom_site_fract_z
_atom_site_occupancy
Tl1 Tl 0.0000 0.0000 0.0000 1
Ag1 Ag 0.3121 0.3120 0.0634 1
Ag2 Ag 0.7484 0.7521 0.7496 1
Sb1 Sb 0.5091 0.5102 0.4722 1
Cl1 Cl 0.1181 0.6942 0.7512 1
Cl2 Cl 0.2966 0.5465 0.2595 1
Cl3 Cl 0.4348 0.1200 0.7562 1
Cl4 Cl 0.5468 0.8944 0.2641 1
Cl5 Cl 0.6934 0.4375 0.7507 1
Cl6 Cl 0.8952 0.2974 0.2614 1
```

# 16
## YAgSb2Cl (PBE)

Data for crystalline YAgSb2Cl at its relaxed geometry.

DOS(E_F)	3.34	states/eV per cell
total magnetic moment	0.000	μB/atom
V	31.6	Å³ per atom

```
data_YAgSb2Cl
_symmetry_space_group_name_H-M 'P 4/m m m'
_symmetry_Int_Tables_number 123
_symmetry_space_group_name_Hall '-P 4 2'
_cell_length_a 5.1932
_cell_length_b 5.1932
_cell_length_c 5.8584
_cell_angle_alpha 90.00
_cell_angle_beta 90.00
_cell_angle_gamma 90.00
loop_
_atom_site_label
_atom_site_type_symbol
_atom_site_fract_x
_atom_site_fract_y
_atom_site_fract_z
_atom_site_occupancy
Y1 Y 0.0000 0.0000 0.0000 1
Ag1 Ag 0.0000 0.0000 0.5000 1
Sb1 Sb 0.0000 0.5000 0.5000 1
Cl1 Cl 0.5000 0.5000 0.0000 1
```

# 17
## ScAg3Cl7 (PBE)

Data for crystalline ScAg3Cl7 at its relaxed geometry.

DOS(E_F)	14.94	states/eV per cell
total magnetic moment	0.046	μB/atom
V	28.6	Å³ per atom

```
data_ScAg3Cl7
_symmetry_space_group_name_H-M 'C 1 m 1'
_symmetry_Int_Tables_number 8
_symmetry_space_group_name_Hall 'C -2y'
_cell_length_a 12.3220
_cell_length_b 8.2530
_cell_length_c 6.5312
_cell_angle_alpha 90.00
_cell_angle_beta 108.53
_cell_angle_gamma 90.00
loop_
_atom_site_label
_atom_site_type_symbol
_atom_site_fract_x
_atom_site_fract_y
_atom_site_fract_z
_atom_site_occupancy
Sc1 Sc 0.0000 0.0000 0.0000 1
Ag1 Ag 0.9999 0.2253 0.5279 1
Ag2 Ag 0.1295 0.5000 0.0861 1
Cl1 Cl 0.0801 0.5000 0.6774 1
Cl2 Cl 0.1156 0.2210 0.2652 1
Cl3 Cl 0.1462 0.0000 0.8272 1
Cl4 Cl 0.3735 0.5000 0.2551 1
Cl5 Cl 0.3805 0.2861 0.7803 1
```

# 18
## ScAgCl2 (PBE)

Data for crystalline ScAgCl2 at its relaxed geometry.

DOS(E_F)	1.69	states/eV per cell
E above lowest polymorph	0	meV/atom
total magnetic moment	0.000	μB/atom
V	30.5	Å³ per atom

```
data_ScAgCl2
_symmetry_space_group_name_H-M 'C 1 m 1'
_symmetry_Int_Tables_number 8
_symmetry_space_group_name_Hall 'C -2y'
_cell_length_a 12.5037
_cell_length_b 3.3264
_cell_length_c 7.1110
_cell_angle_alpha 90.00
_cell_angle_beta 124.35
_cell_angle_gamma 90.00
loop_
_atom_site_label
_atom_site_type_symbol
_atom_site_fract_x
_atom_site_fract_y
_atom_site_fract_z
_atom_site_occupancy
Sc1 Sc 0.0000 0.0000 0.0000 1
Ag1 Ag 0.2110 0.5000 0.3209 1
Cl1 Cl 0.3657 0.0000 0.0419 1
Cl2 Cl 0.4846 0.0000 0.7193 1
```

# 19
## ScAgCl2 (PBE)

Data for crystalline ScAgCl2 at its relaxed geometry.

DOS(E_F)	3.98	states/eV per cell
E above lowest polymorph	483	meV/atom
total magnetic moment	0.001	μB/atom
V	19.6	Å³ per atom

```
data_ScAgCl2
_symmetry_space_group_name_H-M 'I 4/m m m'
_symmetry_Int_Tables_number 139
_symmetry_space_group_name_Hall '-I 4 2'
_cell_length_a 4.4851
_cell_length_b 4.4851
_cell_length_c 7.8033
_cell_angle_alpha 90.00
_cell_angle_beta 90.00
_cell_angle_gamma 90.00
loop_
_atom_site_label
_atom_site_type_symbol
_atom_site_fract_x
_atom_site_fract_y
_atom_site_fract_z
_atom_site_occupancy
Sc1 Sc 0.0000 0.0000 0.0000 1
Ag1 Ag 0.0000 0.0000 0.5000 1
Cl1 Cl 0.0000 0.5000 0.2500 1
```

# 20
## Sc2AgCl8 (PBE)

Data for crystalline Sc2AgCl8 at its relaxed geometry.

DOS(E_F)	8.88	states/eV per cell
total magnetic moment	0.074	μB/atom
V	34.9	Å³ per atom

```
data_Sc2AgCl8
_symmetry_space_group_name_H-M 'P -3 m 1'
_symmetry_Int_Tables_number 164
_symmetry_space_group_name_Hall '-P 3 2"'
_cell_length_a 7.6015
_cell_length_b 7.6015
_cell_length_c 7.6819
_cell_angle_alpha 90.00
_cell_angle_beta 90.00
_cell_angle_gamma 120.00
loop_
_atom_site_label
_atom_site_type_symbol
_atom_site_fract_x
_atom_site_fract_y
_atom_site_fract_z
_atom_site_occupancy
Sc1 Sc 0.3333 0.6667 0.2858 1
Ag1 Ag 0.0000 0.0000 0.0000 1
Cl1 Cl 0.1584 0.3168 0.2125 1
Cl2 Cl 0.3333 0.6667 0.5851 1
```

| no. | raw formation energy (meV/atom) |
| --- | --- |
| 1 | 23 |
| 2 | -378 |
| 3 | -105 |
| 4 | -571 |
| 5 | -468 |
| 6 | 140 |
| 7 | -181 |
| 8 | -584 |
| 9 | -60 |
| 10 | -614 |
| 11 | -156 |
| 12 | -263 |
| 13 | -156 |
| 14 | 521 |
| 15 | -715 |
| 16 | 96 |
| 17 | -998 |
| 18 | -1139 |
| 19 | -656 |
| 20 | -1436 |